Computed, not measured: an optimized crystal structure of NaGeNO2 at the GGA-PBE level of DFT.

The space group is P4/mmm (No. 123) and the conventional cell measures 3.818, 3.818 and 3.872 Å, with angles of 90.00, 90.00 and 90.00 degrees. The inequivalent atoms are Na at (0.000, 0.000, 0.000), Ge at (0.500, 0.500, 0.500), N at (0.500, 0.500, 0.000) and O at (0.000, 0.500, 0.500).

The value obtained for the uncorrected formation energy is -462 meV per atom. The density of states at the Fermi level is 1.02 states/eV per cell.

Computed, not measured: an optimized crystal structure of NaGeN2O at the GGA-PBE level of DFT.

The space group is P4/mmm (No. 123) and the conventional cell measures 4.287, 4.287 and 4.144 Å, with angles of 90.00, 90.00 and 90.00 degrees. The inequivalent atoms are Na at (0.000, 0.000, 0.000), Ge at (0.500, 0.500, 0.500), N at (0.000, 0.500, 0.000) and O at (0.000, 0.000, 0.500).

The value obtained for the uncorrected formation energy is 1791 meV per atom. The density of states at the Fermi level is 1.03 states/eV per cell.

Computed, not measured: an optimized crystal structure of Na4Pa3GeN8 at the GGA-PBE level of DFT.

The space group is C2/m (No. 12) and the conventional cell measures 12.473, 6.712 and 6.885 Å, with angles of 90.00, 123.12 and 90.00 degrees. The inequivalent atoms are Na at (0.000, 0.000, 0.000), Na at (0.000, 0.500, 0.000), Na at (0.250, 0.250, 0.000), Pa at (0.000, 0.000, 0.500), Pa at (0.250, 0.250, 0.500), Ge at (0.000, 0.500, 0.500), N at (0.023, 0.277, 0.325), N at (0.218, 0.000, 0.686) and N at (0.232, 0.000, 0.277).

The value obtained for the uncorrected formation energy is -740 meV per atom. The density of states at the Fermi level is 19.26 states/eV per cell.

Computed, not measured: an optimized crystal structure of NaPaGeN3 at the GGA-PBE level of DFT.

The space group is P2_1/m (No. 11) and the conventional cell measures 7.074, 3.697 and 8.270 Å, with angles of 90.00, 101.46 and 90.00 degrees. The inequivalent atoms are Na at (0.151, 0.250, 0.148), Pa at (0.350, 0.750, 0.842), Ge at (0.092, 0.250, 0.607), N at (0.129, 0.250, 0.840), N at (0.168, 0.750, 0.545) and N at (0.448, 0.750, 0.112).

The value obtained for the uncorrected formation energy is -505 meV per atom. The density of states at the Fermi level is 2.74 states/eV per cell.

DFT total energy? In order: -5.2973, -3.7181, -7.3014, -7.2401 eV per atom.